The following is a GGA-PBE calculation of crystalline KGdZnS3 at its relaxed geometry, from OQMD via LeMat-Bulk.

Values from the calculation:
* magnetization: 0.00 μB per formula unit
* VASP energy: -4.572 eV per atom

Unit cell a=9.046 b=9.046 c=8.384 alpha=102.51 beta=102.51 gamma=25.96
Sites, in units of the cell vectors:
1 S 0.500 0.500 0.000
2 S 0.327 0.327 0.640
3 S 0.000 0.000 0.500
4 S 0.660 0.660 0.790
5 S 0.340 0.340 0.210
6 S 0.673 0.673 0.360
7 K 0.858 0.858 0.930
8 K 0.142 0.142 0.070
9 Gd 0.832 0.832 0.426
10 Gd 0.168 0.168 0.574
11 Zn 0.474 0.474 0.262
12 Zn 0.526 0.526 0.738